First-principles (PBE-GGA) data for a relaxed structure of K3MgAg2F6, as listed in Alexandria via LeMat-Bulk.

Output
Total energy in eV/atom: -4.044
Formation energy from raw total energies in eV per formula unit: -26.71
Magnetization in μB per atom: 0.0000

Cell lengths 5.978, 5.978, 6.937 Å; angles 90.00, 90.00, 120.00 degrees
Fractional positions:
K 0.000 0.000 0.000
K 0.333 0.667 0.613
K 0.667 0.333 0.387
Mg 0.000 0.000 0.500
Ag 0.333 0.667 0.110
Ag 0.667 0.333 0.890
F 0.156 0.312 0.326
F 0.156 0.844 0.326
F 0.312 0.156 0.674
F 0.688 0.844 0.326
F 0.844 0.156 0.674
F 0.844 0.688 0.674

=====

First-principles (PBE-GGA) data for a relaxed structure of Tb4TcPb, as listed in Alexandria via LeMat-Bulk.

Output
Total energy in eV/atom: -5.714
Magnetization in μB per atom: 0.0000

Cell lengths 8.061, 8.061, 6.218 Å; angles 101.13, 101.13, 113.35 degrees
Fractional positions:
Tb 0.058 0.724 0.945
Tb 0.204 0.348 0.633
Tb 0.276 0.942 0.555
Tb 0.348 0.204 0.133
Tb 0.652 0.796 0.867
Tb 0.724 0.058 0.445
Tb 0.796 0.652 0.367
Tb 0.942 0.276 0.055
Tc 0.001 0.999 0.250
Tc 0.999 0.001 0.750
Pb 0.373 0.627 0.250
Pb 0.627 0.373 0.750

=====

First-principles (PBE-GGA) data for a relaxed structure of Tm5TlPt4, as listed in Alexandria via LeMat-Bulk.

Output
Total energy in eV/atom: -5.982
Magnetization in μB per atom: 0.0000

Cell lengths 3.492, 3.492, 17.781 Å; angles 90.00, 90.00, 90.00 degrees
Fractional positions:
Tm 0.000 0.000 0.000
Tm 0.000 0.000 0.191
Tm 0.000 0.000 0.379
Tm 0.000 0.000 0.621
Tm 0.000 0.000 0.809
Tl 0.500 0.500 0.500
Pt 0.500 0.500 0.096
Pt 0.500 0.500 0.289
Pt 0.500 0.500 0.711
Pt 0.500 0.500 0.904

=====

First-principles (PBE-GGA) data for a relaxed structure of MnOsPt2, as listed in Alexandria via LeMat-Bulk.

Output
Total energy in eV/atom: -8.163
Magnetization in μB per atom: 0.5777

Cell lengths 3.880, 3.880, 7.731 Å; angles 90.00, 90.00, 90.00 degrees
Fractional positions:
Mn 0.000 0.000 0.000
Mn 0.500 0.500 0.500
Os 0.000 0.500 0.250
Os 0.500 0.000 0.750
Pt 0.000 0.000 0.500
Pt 0.000 0.500 0.750
Pt 0.500 0.000 0.250
Pt 0.500 0.500 0.000

=====

First-principles (PBE-GGA) data for a relaxed structure of NaCu2ReSb, as listed in Alexandria via LeMat-Bulk.

Output
Total energy in eV/atom: -3.485
Formation energy from raw total energies in eV per formula unit: 8.66
Magnetization in μB per atom: 0.4001

Cell lengths 4.373, 4.373, 5.036 Å; angles 90.00, 90.00, 90.00 degrees
Fractional positions:
Na 0.000 0.000 0.000
Cu 0.000 0.500 0.000
Cu 0.500 0.000 0.000
Re 0.000 0.000 0.500
Sb 0.500 0.500 0.500

=====

First-principles (PBE-GGA) data for a relaxed structure of LiDy8Sb6, as listed in Alexandria via LeMat-Bulk.

Output
Total energy in eV/atom: -5.022
Formation energy from raw total energies in eV per formula unit: -11.87
Magnetization in μB per atom: 0.0000

Cell lengths 8.137, 8.137, 8.137 Å; angles 67.64, 67.64, 67.64 degrees
Fractional positions:
Li 0.000 0.000 0.000
Dy 0.096 0.806 0.375
Dy 0.194 0.625 0.904
Dy 0.332 0.332 0.332
Dy 0.375 0.096 0.806
Dy 0.625 0.904 0.194
Dy 0.668 0.668 0.668
Dy 0.806 0.375 0.096
Dy 0.904 0.194 0.625
Sb 0.074 0.448 0.707
Sb 0.293 0.926 0.552
Sb 0.448 0.707 0.074
Sb 0.552 0.293 0.926
Sb 0.707 0.074 0.448
Sb 0.926 0.552 0.293

=====

First-principles (PBE-GGA) data for a relaxed structure of Ac2TbY4, as listed in Alexandria via LeMat-Bulk.

Output
Total energy in eV/atom: -5.437
Magnetization in μB per atom: 0.0000

Cell lengths 3.654, 37.819, 3.663 Å; angles 90.00, 90.00, 90.00 degrees
Fractional positions:
Ac 0.000 0.204 0.000
Ac 0.000 0.796 0.000
Ac 0.500 0.296 0.000
Ac 0.500 0.704 0.000
Tb 0.000 0.500 0.500
Tb 0.500 0.000 0.500
Y 0.000 0.065 0.000
Y 0.000 0.369 0.500
Y 0.000 0.631 0.500
Y 0.000 0.935 0.000
Y 0.500 0.131 0.500
Y 0.500 0.435 0.000
Y 0.500 0.565 0.000
Y 0.500 0.869 0.500

=====

First-principles (PBE-GGA) data for a relaxed structure of SrSi2Ni, as listed in Alexandria via LeMat-Bulk.

Output
Total energy in eV/atom: -4.914
Formation energy from raw total energies in eV per formula unit: -1.35
Magnetization in μB per atom: 0.0000

Cell lengths 4.824, 4.824, 15.248 Å; angles 90.00, 90.00, 90.00 degrees
Fractional positions:
Sr 0.000 0.250 0.375
Sr 0.000 0.750 0.625
Sr 0.500 0.250 0.125
Sr 0.500 0.750 0.875
Si 0.000 0.000 0.000
Si 0.000 0.500 0.000
Si 0.250 0.250 0.750
Si 0.250 0.750 0.250
Si 0.500 0.000 0.500
Si 0.500 0.500 0.500
Si 0.750 0.250 0.750
Si 0.750 0.750 0.250
Ni 0.000 0.250 0.875
Ni 0.000 0.750 0.125
Ni 0.500 0.250 0.625
Ni 0.500 0.750 0.375

=====

First-principles (PBE-GGA) data for a relaxed structure of Tl3RuRh2O6, as listed in Alexandria via LeMat-Bulk.

Output
Total energy in eV/atom: -5.673
Formation energy from raw total energies in eV per formula unit: -7.25
Magnetization in μB per atom: 0.1599

Cell lengths 5.544, 5.544, 6.894 Å; angles 97.72, 97.72, 120.01 degrees
Fractional positions:
Tl 0.000 0.000 0.000
Tl 0.333 0.667 0.000
Tl 0.667 0.333 0.000
Ru 0.500 0.500 0.500
Rh 0.167 0.833 0.500
Rh 0.833 0.167 0.500
O 0.122 0.452 0.355
O 0.218 0.218 0.645
O 0.452 0.122 0.355
O 0.548 0.878 0.645
O 0.782 0.782 0.355
O 0.878 0.548 0.645

=====

First-principles (PBE-GGA) data for a relaxed structure of AcSb3Mo, as listed in Alexandria via LeMat-Bulk.

Output
Total energy in eV/atom: -5.477
Formation energy from raw total energies in eV per formula unit: -0.08
Magnetization in μB per atom: 0.1334

Cell lengths 5.320, 5.320, 5.320 Å; angles 90.00, 90.00, 90.00 degrees
Fractional positions:
Ac 0.000 0.000 0.000
Sb 0.000 0.500 0.500
Sb 0.500 0.000 0.500
Sb 0.500 0.500 0.000
Mo 0.500 0.500 0.500